*1*
This record from the Alexandria database describes a geometry-optimized FeP2Pt structure. The functional is PBE-GGA.

The structure in POSCAR format:
```
FeP2Pt
1.0
-0.0150 2.4331 -1.4971
-2.8528 -0.0917 -0.1222
-0.3970 3.8997 6.3416
Fe P Pt
1 2 1
direct
0.5000 0.5000 0.7698
0.0000 0.0000 0.9160
0.5000 0.5000 0.3130
0.0000 0.0000 0.5011
```


*2*
This record from the Alexandria database describes a geometry-optimized FeP2Pt structure. The functional is PBE-GGA.

The structure in POSCAR format:
```
FeP2Pt
1.0
-3.1925 -1.8468 3.6109
-1.3885 -3.8200 -3.1814
1.5111 -5.7655 2.0763
P Fe Pt
4 2 2
direct
0.5944 0.1250 0.2500
0.1556 0.6250 0.2500
0.3750 0.4056 0.7500
0.8750 0.8444 0.7500
0.5000 0.5000 0.0000
0.2500 0.7500 0.5000
0.0000 0.0000 0.0000
0.7500 0.2500 0.5000
```


Stability summary - winner: *2*; margin: 252 meV per atom.


*1*
This record from the Alexandria database describes a geometry-optimized FeP2Pt structure. The functional is PBE-GGA.

The structure in POSCAR format:
```
FeP2Pt
1.0
-2.1162 -1.4481 -1.6353
-0.6879 -3.2584 3.7755
-2.9846 -0.0655 3.9202
Fe P Pt
1 2 1
direct
0.0000 0.0000 0.5000
0.0000 0.0000 0.0000
0.5000 0.5000 0.0000
0.5000 0.5000 0.5000
```


*2*
This record from the Alexandria database describes a geometry-optimized FeP2Pt structure. The functional is PBE-GGA.

The structure in POSCAR format:
```
FeP2Pt
1.0
-3.9344 1.9928 5.7107
-6.0149 0.5878 3.9420
-4.1904 -1.0668 5.7763
Fe P Pt
1 2 1
direct
0.7365 0.7365 0.7365
0.0069 0.0069 0.0069
0.2480 0.2480 0.2480
0.5086 0.5086 0.5086
```


Stability summary - winner: *2*; margin: 7 meV per atom.


*1*
This record from the Alexandria database describes a geometry-optimized FeP2Pt structure. The functional is PBE-GGA.

The structure in POSCAR format:
```
FeP2Pt
1.0
0.0000 2.9678 2.9678
2.9678 0.0000 2.9678
2.9678 2.9678 0.0000
P Fe Pt
2 1 1
direct
0.2500 0.2500 0.2500
0.7500 0.7500 0.7500
0.0000 0.0000 0.0000
0.5000 0.5000 0.5000
```


*2*
This record from the Alexandria database describes a geometry-optimized FeP2Pt structure. The functional is PBE-GGA.

The structure in POSCAR format:
```
FeP2Pt
1.0
-5.4758 -4.6669 -2.1214
-4.0976 -6.2800 -0.1864
-6.0601 -4.3686 0.6742
Fe P Pt
1 2 1
direct
0.7500 0.7500 0.7500
0.0104 0.0104 0.0104
0.4896 0.4896 0.4896
0.2500 0.2500 0.2500
```


*3*
This record from the Alexandria database describes a geometry-optimized FeP2Pt structure. The functional is PBE-GGA.

The structure in POSCAR format:
```
FeP2Pt
1.0
-4.2218 -0.8510 -4.5120
-5.4374 -2.9370 -0.8455
3.9362 3.8889 2.8791
Fe P Pt
1 2 1
direct
0.7797 0.2797 0.5000
0.9391 0.9391 0.0000
0.2194 0.7194 0.5000
0.5618 0.5618 0.0000
```


Stability summary - winner: *3*; margin: 57 meV per atom.


*1*
This record from the Alexandria database describes a geometry-optimized FeP2Pt structure. The functional is PBE-GGA.

The structure in POSCAR format:
```
FeP2Pt
1.0
-4.8246 -1.1898 2.3648
5.6296 -2.6415 0.4650
-0.7531 1.3972 2.1095
Fe P Pt
1 2 1
direct
0.5000 0.0000 0.5000
0.0000 0.0000 0.0000
0.0000 0.5000 0.5000
0.5000 0.5000 0.0000
```


*2*
This record from the Alexandria database describes a geometry-optimized FeP2Pt structure. The functional is PBE-GGA.

The structure in POSCAR format:
```
FeP2Pt
1.0
4.9716 0.0323 0.0000
2.3497 4.3814 0.0000
-3.6607 -2.2069 2.5391
Fe P Pt
1 2 1
direct
0.7500 0.2500 0.5000
0.0000 0.0000 0.0000
0.2500 0.7500 0.5000
0.5000 0.5000 0.0000
```


Stability summary - winner: *1*; margin: 95 meV per atom.


*1*
This record from the Alexandria database describes a geometry-optimized FeP2Pt structure. The functional is PBE-GGA.

The structure in POSCAR format:
```
FeP2Pt
1.0
3.4799 0.0000 0.0000
0.0000 2.8099 -0.0816
0.0000 1.5773 5.8042
Fe P Pt
1 2 1
direct
0.5000 0.3493 0.9268
0.0000 0.8942 0.8364
0.5000 0.6959 0.2327
0.0000 0.5605 0.5041
```


*2*
This record from the Alexandria database describes a geometry-optimized FeP2Pt structure. The functional is PBE-GGA.

The structure in POSCAR format:
```
FeP2Pt
1.0
4.1414 0.0000 0.0000
0.0000 4.1413 0.0000
0.0000 0.0000 3.1478
Fe P Pt
1 2 1
direct
0.0000 0.5000 0.5000
0.0000 0.0000 0.0000
0.5000 0.5000 0.0000
0.5000 0.0000 0.5000
```


Stability summary - winner: *1*; margin: 375 meV per atom.


*1*
This record from the Alexandria database describes a geometry-optimized FePPt3 structure. The functional is PBE-GGA.

The structure in POSCAR format:
```
FePPt3
1.0
4.5828 0.0000 0.0000
0.0000 4.5828 0.0000
0.0000 0.0000 4.5828
P Fe Pt
1 1 3
direct
0.5000 0.5000 0.5000
0.0000 0.0000 0.0000
0.0000 0.5000 0.0000
0.0000 0.0000 0.5000
0.5000 0.0000 0.0000
```


*2*
This record from the Alexandria database describes a geometry-optimized FePPt3 structure. The functional is PBE-GGA.

The structure in POSCAR format:
```
FePPt3
1.0
4.4803 0.0000 0.0000
0.0000 4.4803 0.0000
0.0000 0.0000 4.4803
P Fe Pt
1 1 3
direct
0.0000 0.0000 0.0000
0.5000 0.5000 0.5000
0.0000 0.5000 0.0000
0.0000 0.0000 0.5000
0.5000 0.0000 0.0000
```


Stability summary - winner: *2*; margin: 811 meV per atom.


*1*
This record from the Alexandria database describes a geometry-optimized RbFe3P structure. The functional is PBE-GGA.

The structure in POSCAR format:
```
RbFe3P
1.0
4.6457 0.0000 0.0000
0.0000 4.6457 0.0000
0.0000 0.0000 4.6457
P Fe Rb
1 3 1
direct
0.5000 0.5000 0.5000
0.0000 0.5000 0.0000
0.0000 0.0000 0.5000
0.5000 0.0000 0.0000
0.0000 0.0000 0.0000
```


*2*
This record from the Alexandria database describes a geometry-optimized RbFe3P structure. The functional is PBE-GGA.

The structure in POSCAR format:
```
RbFe3P
1.0
4.5521 0.0000 0.0000
0.0000 4.5521 0.0000
0.0000 0.0000 4.5521
P Fe Rb
1 3 1
direct
0.0000 0.0000 0.0000
0.0000 0.5000 0.0000
0.0000 0.0000 0.5000
0.5000 0.0000 0.0000
0.5000 0.5000 0.5000
```


Stability summary - winner: *2*; margin: 2012 meV per atom.


*1*
This record from the Alexandria database describes a geometry-optimized RbFeP3 structure. The functional is PBE-GGA.

The structure in POSCAR format:
```
RbFeP3
1.0
-2.8505 3.0128 -3.1923
1.6177 -2.8173 -4.1035
-4.0805 -3.2216 0.6031
P Fe Rb
3 1 1
direct
0.0000 0.5000 0.0000
0.0000 0.0000 0.5000
0.5000 0.0000 0.0000
0.5000 0.5000 0.5000
0.0000 0.0000 0.0000
```


*2*
This record from the Alexandria database describes a geometry-optimized RbFeP3 structure. The functional is PBE-GGA.

The structure in POSCAR format:
```
RbFeP3
1.0
-0.3035 -3.2929 -3.1954
-1.2509 -3.0217 3.2327
-4.4146 1.0825 -0.6963
P Fe Rb
3 1 1
direct
0.0000 0.5000 0.0000
0.0000 0.0000 0.5000
0.5000 0.0000 0.0000
0.0000 0.0000 0.0000
0.5000 0.5000 0.5000
```


Stability summary - winner: *2*; margin: 2435 meV per atom.


*1*
This record from the Alexandria database describes a geometry-optimized RbFePS2 structure. The functional is PBE-GGA.

The structure in POSCAR format:
```
RbFePS2
1.0
5.5044 0.0000 0.0000
0.0000 5.5044 0.0000
0.0000 0.0000 5.4500
P S Fe Rb
1 2 1 1
direct
0.0000 0.0000 0.5000
0.0000 0.5000 0.0000
0.5000 0.0000 0.0000
0.5000 0.5000 0.5000
0.0000 0.0000 0.0000
```


*2*
This record from the Alexandria database describes a geometry-optimized RbFePS2 structure. The functional is PBE-GGA.

The structure in POSCAR format:
```
RbFePS2
1.0
4.8549 0.0000 0.0000
0.0000 4.8549 0.0000
0.0000 0.0000 4.4563
P S Fe Rb
1 2 1 1
direct
0.0000 0.0000 0.5000
0.0000 0.5000 0.0000
0.5000 0.0000 0.0000
0.0000 0.0000 0.0000
0.5000 0.5000 0.5000
```


Stability summary - winner: *2*; margin: 2039 meV per atom.


*1*
This record from the Alexandria database describes a geometry-optimized FeReP2 structure. The functional is PBE-GGA.

The structure in POSCAR format:
```
FeReP2
1.0
-6.3094 -3.4406 -1.6598
-4.4420 -5.6898 -1.5152
-5.6588 -4.6383 0.9304
Fe P Re
1 2 1
direct
0.2609 0.2609 0.2609
0.9954 0.9954 0.9954
0.7497 0.7497 0.7497
0.4940 0.4940 0.4940
```


*2*
This record from the Alexandria database describes a geometry-optimized FeReP2 structure. The functional is PBE-GGA.

The structure in POSCAR format:
```
FeReP2
1.0
-1.4297 -2.4504 -2.7030
1.4507 -2.4136 -2.7248
0.0716 -4.1859 2.4201
Fe P Re
1 2 1
direct
0.2500 0.2500 0.2500
0.9988 0.9988 0.0174
0.5012 0.5012 0.4826
0.7500 0.7500 0.7500
```


Stability summary - winner: *2*; margin: 51 meV per atom.


*1*
This record from the Alexandria database describes a geometry-optimized FeReP2 structure. The functional is PBE-GGA.

The structure in POSCAR format:
```
FeReP2
1.0
4.2934 -0.0190 0.0082
3.2558 2.7990 0.0082
1.0087 0.3715 4.1210
Fe P Re
1 2 1
direct
0.2608 0.2608 0.1493
0.9924 0.9924 0.0675
0.7542 0.7542 0.7205
0.4926 0.4926 0.5627
```


*2*
This record from the Alexandria database describes a geometry-optimized FeReP2 structure. The functional is PBE-GGA.

The structure in POSCAR format:
```
FeReP2
1.0
3.9078 0.0000 0.0000
0.0000 3.1894 -0.0294
0.0000 -0.4277 4.4719
Fe P Re
1 2 1
direct
0.5000 0.7500 0.7500
0.0000 0.0735 0.9460
0.0000 0.4265 0.5540
0.5000 0.2500 0.2500
```


*3*
This record from the Alexandria database describes a geometry-optimized FeReP2 structure. The functional is PBE-GGA.

The structure in POSCAR format:
```
FeReP2
1.0
2.8703 -0.0719 0.0000
-1.3631 2.5270 0.0000
0.0000 0.0000 7.3651
Fe P Re
1 2 1
direct
0.5000 0.5000 0.7500
0.0000 0.0000 0.9848
0.0000 0.0000 0.5152
0.5000 0.5000 0.2500
```


Stability summary - winner: *1*; margin: 430 meV per atom.


*1*
This record from the Alexandria database describes a geometry-optimized FeReP2 structure. The functional is PBE-GGA.

The structure in POSCAR format:
```
FeReP2
1.0
-1.1760 2.2936 -1.4894
-3.9157 -2.5591 -0.8491
-1.5147 1.2713 3.1537
Fe P Re
1 2 1
direct
0.0000 0.5000 0.5000
0.0000 0.0000 0.0000
0.5000 0.5000 0.0000
0.5000 0.0000 0.5000
```


*2*
This record from the Alexandria database describes a geometry-optimized FeReP2 structure. The functional is PBE-GGA.

The structure in POSCAR format:
```
FeReP2
1.0
2.7909 0.0000 0.0000
0.0000 2.7909 0.0000
0.0000 0.0000 7.4422
Fe Re P
1 1 2
direct
0.5000 0.5000 0.7565
0.0000 0.0000 0.5129
0.0000 0.0000 0.9211
0.5000 0.5000 0.3095
```


*3*
This record from the Alexandria database describes a geometry-optimized FeReP2 structure. The functional is PBE-GGA.

The structure in POSCAR format:
```
FeReP2
1.0
-0.3240 0.7316 2.8027
-1.4225 -2.4968 0.4873
4.9058 -2.5541 1.2338
Fe P Re
1 2 1
direct
0.5000 0.5000 0.7500
0.0000 0.0000 0.9900
0.0000 0.0000 0.5100
0.5000 0.5000 0.2500
```


*4*
This record from the Alexandria database describes a geometry-optimized FeReP2 structure. The functional is PBE-GGA.

The structure in POSCAR format:
```
FeReP2
1.0
4.9386 0.0127 0.0000
2.5578 4.2247 0.0000
-3.7482 -2.1187 2.4191
Fe P Re
1 2 1
direct
0.7500 0.2500 0.5000
0.0000 0.0000 0.0000
0.2500 0.7500 0.5000
0.5000 0.5000 0.0000
```


Stability summary - winner: *3*; margin: 140 meV per atom.